DFT (GGA+U) results for an optimized crystal structure of Ba2TlCoO5.

Unit cell a=7.8467 b=7.8467 c=11.1162 alpha=90.00 beta=90.00 gamma=153.51
Closest atoms and distances in Å follow each position.
Element x y z (fractional)
1 Ba 0.1131 0.8869 0.5000  5 O 2.70-2.82
2 Ba 0.1367 0.8633 0.1424  7 O 2.72-3.01
3 Ba 0.8633 0.1367 0.6424  7 O 2.72-3.01
4 Ba 0.8869 0.1131 0.0000  5 O 2.70-2.82
5 Tl 0.2052 0.7948 0.8462  6 O 2.23-2.45
6 Tl 0.7948 0.2052 0.3462  6 O 2.23-2.45
7 Co 0.4514 0.5486 0.2568  2 O 1.77-1.96
8 Co 0.5486 0.4514 0.7568  2 O 1.77-1.96
9 O 0.0451 0.9549 0.8313  2 Co 1.98
10 O 0.2928 0.7072 0.4814  2 Tl 2.34
11 O 0.3281 0.6719 0.2068  1 Co 1.96
12 O 0.3502 0.6498 0.8256  1 Tl 2.23
13 O 0.4979 0.5021 0.6139  1 Co 1.77
14 O 0.5021 0.4979 0.1139  1 Co 1.77
15 O 0.6498 0.3502 0.3256  1 Tl 2.23
16 O 0.6719 0.3281 0.7068  1 Co 1.96
17 O 0.7072 0.2928 0.9814  2 Tl 2.34
18 O 0.9549 0.0451 0.3313  2 Co 1.98

## Properties
Total energy (eV per atom): -5.637
Density (g/cm3): 6.7
Total moment (μB/f.u.): 4.01